A geometry-optimized Cd2Ag2S structure. Source: the Alexandria database, functional PBE.

Its energy relative to the elements, uncorrected is 0.11 eV/atom. The calculation puts the uncorrected energy at -2.219 eV per atom. For the total moment, the calculation gives 0.00 μB per formula unit. The space-group type is P4/mbm (127).

abc: 7.1328 7.1328 4.1730
angles: 90.00 90.00 90.00
Closest atoms and distances in Å follow each position.
Element x y z (fractional)
S: 0.0000 0.0000 0.0000  4 Cd 2.71
S: 0.5000 0.5000 0.0000  4 Cd 2.71
Cd: 0.3486 0.8486 0.0000  2 S 2.71, 6 Ag 2.95
Cd: 0.6514 0.1514 0.0000  2 S 2.71, 6 Ag 2.95
Cd: 0.8486 0.6514 0.0000  2 S 2.71, 6 Ag 2.95
Cd: 0.1514 0.3486 0.0000  2 S 2.71, 6 Ag 2.95
Ag: 0.1415 0.6415 0.5000  1 Ag 2.85, 6 Cd 2.95
Ag: 0.6415 0.8585 0.5000  1 Ag 2.85, 6 Cd 2.95
Ag: 0.8585 0.3585 0.5000  1 Ag 2.85, 6 Cd 2.95
Ag: 0.3585 0.1415 0.5000  1 Ag 2.85, 6 Cd 2.95



A geometry-optimized CdAg2SbS4 structure. Source: the Alexandria database, functional PBE.

Its energy relative to the elements, uncorrected is -0.20 eV/atom. The calculation puts the uncorrected energy at -3.601 eV per atom. For the total moment, the calculation gives 0.00 μB per formula unit. The space-group type is I-4 (82).

abc: 5.9634 5.9642 7.1874
angles: 114.52 114.51 90.00
Closest atoms and distances in Å follow each position.
Element x y z (fractional)
S: 0.8595 0.3634 0.2242  1 Sb 2.54, 2 Ag 2.56-2.57, 1 Cd 2.57
S: 0.6110 0.6125 0.7195  1 Sb 2.54, 2 Ag 2.57, 1 Cd 2.57
S: 0.1084 0.1070 0.7193  1 Sb 2.54, 2 Ag 2.56-2.57, 1 Cd 2.57
S: 0.3646 0.8606 0.2240  1 Sb 2.54, 2 Ag 2.56-2.57, 1 Cd 2.57
Cd: 0.9857 0.4857 0.9716  4 S 2.57
Ag: 0.2361 0.2359 0.4718  4 S 2.57
Ag: 0.4859 0.9861 0.9720  4 S 2.56-2.57
Sb: 0.7358 0.7358 0.4717  4 S 2.54



A geometry-optimized CdSi2AgS6 structure. Source: the Alexandria database, functional PBE.

Its energy relative to the elements, uncorrected is -0.40 eV/atom. The calculation puts the uncorrected energy at -4.336 eV per atom. For the total moment, the calculation gives 0.00 μB per formula unit. The space-group type is C2/c (15).

abc: 6.2349 8.9852 8.9852
angles: 91.46 74.08 74.08
Closest atoms and distances in Å follow each position.
Element x y z (fractional)
S: 0.8770 0.0162 0.1849  1 Si 2.11
S: 0.4417 0.5923 0.7069  2 Si 2.18
S: 0.8667 0.4325 0.8745  1 Si 2.14
S: 0.3667 0.8745 0.4325  1 Si 2.14
S: 0.0583 0.2931 0.4077  2 Si 2.18
S: 0.3770 0.1849 0.0162  1 Si 2.11
S: 0.5583 0.4077 0.2931  2 Si 2.18
S: 0.9417 0.7069 0.5923  2 Si 2.18
S: 0.6230 0.8151 0.9838  1 Si 2.11
S: 0.1333 0.5675 0.1255  1 Si 2.14
S: 0.1230 0.9838 0.8151  1 Si 2.11
S: 0.6333 0.1255 0.5675  1 Si 2.14
Si: 0.7097 0.6450 0.7936  4 S 2.11-2.18
Si: 0.2097 0.7936 0.6450  4 S 2.11-2.18
Si: 0.7903 0.2064 0.3550  4 S 2.11-2.18
Si: 0.2903 0.3550 0.2064  4 S 2.11-2.18
Ag: 0.2500 0.2966 0.7034  2 S 2.42
Ag: 0.7500 0.7034 0.2966  2 S 2.42
Cd: 0.2500 0.8089 0.1911  4 S 2.57
Cd: 0.7500 0.1911 0.8089  4 S 2.57



A geometry-optimized Cd2AgSnS4 structure. Source: the Alexandria database, functional PBE.

Its energy relative to the elements, uncorrected is -0.40 eV/atom. The calculation puts the uncorrected energy at -3.546 eV per atom. For the total moment, the calculation gives 0.00 μB per formula unit. The space-group type is Fmm2 (42).

abc: 5.9729 5.9729 7.2963
angles: 114.15 114.15 90.02
Closest atoms and distances in Å follow each position.
Element x y z (fractional)
S: 0.8779 0.3726 0.2505  1 Ag 2.57, 2 Cd 2.58, 1 Sn 2.60
S: 0.3726 0.8779 0.2505  1 Ag 2.57, 2 Cd 2.58, 1 Sn 2.60
S: 0.6270 0.6270 0.7496  1 Ag 2.57, 2 Cd 2.58, 1 Sn 2.60
S: 0.1226 0.1226 0.7496  1 Ag 2.57, 2 Cd 2.58, 1 Sn 2.60
Cd: 0.7501 0.2501 0.5002  4 S 2.58
Cd: 0.2501 0.7501 0.5002  4 S 2.58
Sn: 0.5003 0.5003 0.0006  4 S 2.60
Ag: 0.9997 0.9997 0.9995  4 S 2.57